Entry 1:
{"formula": "Pm3Pr2Ho4", "functional": "PBE", "state": "relaxed", "lattice_angstrom": [[-0.079, 2.435, 2.717], [-1.670, -5.782, 2.682], [11.011, -7.026, 6.617]], "species": ["Pm", "Pm", "Pm", "Ho", "Ho", "Ho", "Ho", "Pr", "Pr"], "fractional_positions": [[0.000, 0.000, 0.000], [0.614, 0.228, 0.381], [0.386, 0.772, 0.619], [0.871, 0.743, 0.415], [0.662, 0.325, 0.119], [0.129, 0.257, 0.585], [0.338, 0.675, 0.881], [0.350, 0.700, 0.215], [0.650, 0.300, 0.785]], "space_group": "C2/m (12)", "dft_energy_ev_per_atom": -4.5706, "polymorph_energy_ev_per_atom": 0.090}

Entry 2:
{"formula": "PmPr2Ho5", "functional": "PBE", "state": "relaxed", "lattice_angstrom": [[5.076, 0.000, 0.000], [0.000, 7.169, 0.000], [0.000, 0.000, 14.347]], "species": ["Ho", "Ho", "Ho", "Ho", "Ho", "Ho", "Ho", "Ho", "Ho", "Ho", "Pr", "Pr", "Pr", "Pr", "Pm", "Pm"], "fractional_positions": [[0.500, 0.252, 0.875], [0.000, 0.000, 0.000], [0.000, 0.003, 0.751], [0.000, 0.997, 0.249], [0.500, 0.248, 0.375], [0.000, 0.500, 0.500], [0.500, 0.748, 0.125], [0.000, 0.503, 0.749], [0.500, 0.752, 0.625], [0.000, 0.497, 0.251], [0.500, 0.247, 0.126], [0.500, 0.753, 0.874], [0.500, 0.253, 0.626], [0.500, 0.747, 0.374], [0.000, 0.500, 0.000], [0.000, 0.000, 0.500]], "space_group": "Pbam (55)", "dft_energy_ev_per_atom": -4.6288, "polymorph_energy_ev_per_atom": 0.000}